(1)
ZrN3Cl after structural relaxation, computed with PBE.

## Properties
* calculated total energy: -5.84 eV/atom
* total moment: 6.0 μB per formula unit

Unit cell a=4.3794 b=4.3794 c=4.3794 alpha=90.00 beta=90.00 gamma=90.00
Last column: nearest neighbours and their distance in Å.
Space group Pm-3m (No. 221)
Asymmetric unit:
Zr (0.0000, 0.0000, 0.0000)  6 N 2.19
N (0.0000, 0.0000, 0.5000)  2 Zr 2.19
Cl (0.5000, 0.5000, 0.5000)  12 N 3.10

***

(2)
ZrN3Cl after structural relaxation, computed with PBE.

## Properties
* calculated total energy: -5.64 eV/atom
* total moment: 0.0 μB per formula unit

Unit cell a=3.7241 b=3.7241 c=3.7241 alpha=90.00 beta=90.00 gamma=90.00
Last column: nearest neighbours and their distance in Å.
Space group Pm-3m (No. 221)
Asymmetric unit:
Zr (0.0000, 0.0000, 0.0000)  12 N 2.63
N (0.0000, 0.5000, 0.5000)  2 Cl 1.86
Cl (0.5000, 0.5000, 0.5000)  6 N 1.86

***

(3)
ZrNCl after structural relaxation, computed with PBE.

## Properties
* calculated total energy: -8.01 eV/atom
* total moment: 0.0 μB per formula unit

Unit cell a=3.6478 b=3.6478 c=29.8391 alpha=90.00 beta=90.00 gamma=120.00
Last column: nearest neighbours and their distance in Å.
Space group R-3m (No. 166, hexagonal axes)
Asymmetric unit:
Zr (0.0000, 0.0000, 0.1225)  4 N 2.15-2.19
N (0.0000, 0.0000, 0.1957)  4 Zr 2.15-2.19
Cl (0.0000, 0.0000, 0.3951)  3 Zr 2.78, 3 N 3.09

***

(4)
Zr3NCl after structural relaxation, computed with PBE.

## Properties
* calculated total energy: -7.48 eV/atom
* total moment: 0.0 μB per formula unit
* E above lowest polymorph: 0 meV/atom

Unit cell a=4.5300 b=4.5300 c=4.5300 alpha=90.00 beta=90.00 gamma=90.00
Last column: nearest neighbours and their distance in Å.
Space group Pm-3m (No. 221)
Asymmetric unit:
Zr (0.0000, 0.0000, 0.5000)  2 N 2.27
N (0.0000, 0.0000, 0.0000)  6 Zr 2.27
Cl (0.5000, 0.5000, 0.5000)  12 Zr 3.20

***

(5)
ZrNCl after structural relaxation, computed with PBE.

## Properties
* calculated total energy: -7.69 eV/atom
* total moment: 0.0 μB per formula unit

Unit cell a=3.6246 b=3.6246 c=5.1766 alpha=90.00 beta=90.00 gamma=120.00
Last column: nearest neighbours and their distance in Å.
Space group P-6m2 (No. 187)
Asymmetric unit:
Zr (0.0000, 0.0000, 0.0000)  3 N 2.09
N (0.3333, 0.6667, 0.0000)  3 Zr 2.09
Cl (0.0000, 0.0000, 0.5000)  2 Zr 2.59

***

(6)
ZrN2Cl after structural relaxation, computed with PBE.

## Properties
* calculated total energy: -5.88 eV/atom
* total moment: 0.0 μB per formula unit
* E above lowest polymorph: 1073 meV/atom

Unit cell a=5.7752 b=5.7752 c=5.7752 alpha=90.00 beta=90.00 gamma=90.00
Last column: nearest neighbours and their distance in Å.
Space group Fm-3m (No. 225)
Asymmetric unit:
Zr (0.0000, 0.0000, 0.0000)  8 N 2.50
N (0.2500, 0.2500, 0.2500)  4 Zr 2.50, 4 Cl 2.50
Cl (0.0000, 0.0000, 0.5000)  8 N 2.50

***

(7)
ZrN2Cl after structural relaxation, computed with PBE.

## Properties
* calculated total energy: -6.95 eV/atom
* total moment: 0.0 μB per formula unit
* E above lowest polymorph: 0 meV/atom

Unit cell a=3.4036 b=3.4036 c=18.0843 alpha=90.00 beta=90.00 gamma=120.00
Last column: nearest neighbours and their distance in Å.
Space group R-3m (No. 166, hexagonal axes)
Asymmetric unit:
Zr (0.0000, 0.0000, 0.0000)  6 N 2.23
N (0.0000, 0.0000, 0.3917)  1 Cl 1.96
Cl (0.0000, 0.0000, 0.5000)  2 N 1.96

***

(8)
ZrNCl after structural relaxation, computed with PBE.

## Properties
* calculated total energy: -8.01 eV/atom
* total moment: 0.0 μB per formula unit

Unit cell a=3.6480 b=3.6480 c=29.8674 alpha=90.00 beta=90.00 gamma=120.00
Last column: nearest neighbours and their distance in Å.
Space group R-3m (No. 166, hexagonal axes)
Asymmetric unit:
Zr (0.0000, 0.0000, 0.2108)  4 N 2.15-2.18
N (0.0000, 0.0000, 0.1376)  4 Zr 2.15-2.18
Cl (0.0000, 0.0000, 0.3952)  3 Zr 2.78, 3 N 3.09

***

(9)
ZrN2Cl after structural relaxation, computed with PBE.

## Properties
* calculated total energy: -6.64 eV/atom
* total moment: 0.0 μB per formula unit
* E above lowest polymorph: 307 meV/atom

Unit cell a=3.9669 b=3.9669 c=15.3347 alpha=90.00 beta=90.00 gamma=90.00
Last column: nearest neighbours and their distance in Å.
Space group I4_1/amd (No. 141, origin choice 2)
Asymmetric unit:
Zr (0.0000, 0.2500, 0.3750)  4 N 2.16
N (0.0000, 0.0000, 0.5000)  2 N 1.98, 2 Zr 2.16
Cl (0.0000, 0.2500, 0.8750)  4 Zr 2.81, 8 N 2.93

***

(10)
ZrNCl3 after structural relaxation, computed with PBE.

## Properties
* calculated total energy: -4.72 eV/atom
* total moment: 2.8 μB per formula unit
* E above lowest polymorph: 0 meV/atom

Unit cell a=5.0513 b=5.0513 c=5.0513 alpha=90.00 beta=90.00 gamma=90.00
Last column: nearest neighbours and their distance in Å.
Space group Pm-3m (No. 221)
Asymmetric unit:
Zr (0.0000, 0.0000, 0.0000)  6 Cl 2.53
N (0.5000, 0.5000, 0.5000)  12 Cl 3.57
Cl (0.0000, 0.0000, 0.5000)  2 Zr 2.53

***

(11)
ZrNCl after structural relaxation, computed with PBE.

## Properties
* calculated total energy: -7.78 eV/atom
* total moment: 0.0 μB per formula unit

Unit cell a=3.4542 b=3.4542 c=12.7712 alpha=90.00 beta=90.00 gamma=120.00
Last column: nearest neighbours and their distance in Å.
Space group P-3m1 (No. 164)
Asymmetric unit:
Zr (0.0000, 0.0000, 0.2024)  3 N 2.09
N (0.3333, 0.6667, 0.1529)  3 Zr 2.09
Cl (0.3333, 0.6667, 0.6513)  3 Zr 2.73

***

(12)
ZrN2Cl4 after structural relaxation, computed with PBE.

## Properties
* calculated total energy: -4.39 eV/atom
* total moment: 6.0 μB per formula unit

Unit cell a=3.8033 b=6.9169 c=10.2111 alpha=84.56 beta=79.30 gamma=74.13
Last column: nearest neighbours and their distance in Å.
Space group P-1 (No. 2)
Asymmetric unit:
Zr (0.0000, 0.0000, 0.0000)  6 Cl 2.39-2.58
N (0.3964, 0.7685, 0.4408)  2 Cl 3.52-3.61, 5 N 3.71-3.86
Cl (0.1869, 0.8280, 0.7966)  1 Zr 2.39
Cl (0.4305, 0.2296, 0.9103)  2 Zr 2.58

***

(13)
ZrNCl3 after structural relaxation, computed with PBE.

## Properties
* calculated total energy: -3.73 eV/atom
* total moment: 0.0 μB per formula unit
* E above lowest polymorph: 988 meV/atom

Unit cell a=4.4002 b=4.4002 c=4.4002 alpha=90.00 beta=90.00 gamma=90.00
Last column: nearest neighbours and their distance in Å.
Space group Pm-3m (No. 221)
Asymmetric unit:
Zr (0.0000, 0.0000, 0.0000)  12 Cl 3.11
N (0.5000, 0.5000, 0.5000)  6 Cl 2.20
Cl (0.0000, 0.5000, 0.5000)  2 N 2.20

***

(14)
NaCl3 after structural relaxation, computed with PBE.

## Properties
* calculated total energy: -2.22 eV/atom
* total moment: 2.0 μB per formula unit
* E above lowest polymorph: 369 meV/atom

Unit cell a=9.2138 b=12.7334 c=4.5169 alpha=90.00 beta=90.00 gamma=90.00
Last column: nearest neighbours and their distance in Å.
Space group Cmcm (No. 63)
Asymmetric unit:
Na (0.0000, 0.1184, 0.2500)  6 Cl 2.87-2.94
Cl (0.0000, 0.2659, 0.7500)  2 Cl 2.63, 2 Na 2.94
Cl (0.1916, 0.1126, 0.7500)  1 Cl 2.63, 2 Na 2.87

***

(15)
NaCl3 after structural relaxation, computed with PBE.

## Properties
* calculated total energy: -2.09 eV/atom
* total moment: 2.0 μB per formula unit
* E above lowest polymorph: 498 meV/atom

Unit cell a=7.2517 b=7.2517 c=7.2517 alpha=90.00 beta=90.00 gamma=90.00
Last column: nearest neighbours and their distance in Å.
Space group Fm-3m (No. 225)
Asymmetric unit:
Na (0.0000, 0.0000, 0.0000)  8 Cl 3.14
Cl (0.0000, 0.0000, 0.5000)  8 Cl 3.14
Cl (0.2500, 0.2500, 0.2500)  4 Cl 3.14, 4 Na 3.14

***

(16)
NaCl4 after structural relaxation, computed with PBE.

## Properties
* calculated total energy: -1.77 eV/atom
* total moment: 3.0 μB per formula unit
* E above lowest polymorph: 591 meV/atom

Unit cell a=5.3128 b=5.3128 c=5.3128 alpha=90.00 beta=90.00 gamma=90.00
Last column: nearest neighbours and their distance in Å.
Space group Pm-3m (No. 221)
Asymmetric unit:
Na (0.0000, 0.0000, 0.0000)  6 Cl 2.66
Cl (0.0000, 0.0000, 0.5000)  2 Na 2.66
Cl (0.5000, 0.5000, 0.5000)  12 Cl 3.76

***

(17)
Na5Cl after structural relaxation, computed with PBE.

## Properties
* calculated total energy: -1.83 eV/atom
* total moment: 0.0 μB per formula unit

Unit cell a=3.9141 b=17.1884 c=6.0270 alpha=90.00 beta=90.00 gamma=90.00
Last column: nearest neighbours and their distance in Å.
Space group Cmmm (No. 65)
Asymmetric unit:
Na (0.0000, 0.0000, 0.0000)  10 Na 3.57-3.91, 4 Cl 3.59
Na (0.0000, 0.1238, 0.5000)  2 Cl 2.89
Na (0.0000, 0.3266, 0.0000)  4 Na 3.28-3.57
Cl (0.0000, 0.5000, 0.5000)  4 Na 2.89

***

(18)
NaCl3 after structural relaxation, computed with PBE.

## Properties
* calculated total energy: -1.73 eV/atom
* total moment: 2.0 μB per formula unit
* E above lowest polymorph: 860 meV/atom

Unit cell a=3.4072 b=3.4072 c=38.3735 alpha=90.00 beta=90.00 gamma=120.00
Last column: nearest neighbours and their distance in Å.
Space group R-3m (No. 166, hexagonal axes)
Asymmetric unit:
Na (0.0000, 0.0000, 0.0000)  2 Cl 2.46
Cl (0.0000, 0.0000, 0.0641)  1 Na 2.46
Cl (0.0000, 0.0000, 0.5000)  6 Cl 3.41

***

(19)
Na2Cl after structural relaxation, computed with PBE.

## Properties
* calculated total energy: -2.48 eV/atom
* total moment: 0.0 μB per formula unit
* E above lowest polymorph: 108 meV/atom

Unit cell a=7.4137 b=13.5699 c=3.9248 alpha=90.00 beta=90.00 gamma=90.00
Last column: nearest neighbours and their distance in Å.
Space group Cmmm (No. 65)
Asymmetric unit:
Na (0.0000, 0.0000, 0.0000)  6 Na 3.52-3.92
Na (0.0000, 0.2156, 0.5000)  2 Cl 2.71
Na (0.0000, 0.5000, 0.5000)  4 Cl 2.79
Cl (0.0000, 0.3534, 0.0000)  4 Na 2.71-2.79

***

(20)
NaCl3 after structural relaxation, computed with PBE.

## Properties
* calculated total energy: -2.59 eV/atom
* total moment: 0.0 μB per formula unit
* E above lowest polymorph: 0 meV/atom

Unit cell a=4.4429 b=4.4429 c=21.5585 alpha=90.00 beta=90.00 gamma=120.00
Last column: nearest neighbours and their distance in Å.
Space group R-3m (No. 166, hexagonal axes)
Asymmetric unit:
Na (0.0000, 0.0000, 0.0000)  6 Cl 2.87
Cl (0.0000, 0.0000, 0.3934)  1 Cl 2.30
Cl (0.0000, 0.0000, 0.5000)  2 Cl 2.30